Arrangement P

Density functional theory data (PBE) for a relaxed NdTcB4 crystal.

Cell lengths 3.1790, 4.8991, 4.8991 Å; angles 67.74, 71.07, 71.07 degrees
Fractional positions:
B: 0.2452 0.0928 0.4168
B: 0.2452 0.4168 0.0928
B: 0.7548 0.9072 0.5832
B: 0.7548 0.5832 0.9072
Tc: 0.5000 0.5000 0.5000
Nd: 0.0000 0.0000 0.0000

Results
spin magnetization = 0.000 μB per atom
SG = Immm, No. 71
volume = 10.833 Å³/atom

Arrangement Q

Density functional theory data (PBE) for a relaxed NdTcB4 crystal.

Cell lengths 3.6823, 6.0675, 11.7525 Å; angles 90.00, 90.00, 90.00 degrees
Fractional positions:
Nd: 0.0000 0.3753 0.6506
Nd: 0.0000 0.6247 0.3494
Nd: 0.0000 0.1247 0.1506
Nd: 0.0000 0.8753 0.8494
B: 0.5000 0.2817 0.3168
B: 0.5000 0.7183 0.6832
B: 0.5000 0.8884 0.4542
B: 0.5000 0.6399 0.5322
B: 0.5000 0.1399 0.9678
B: 0.5000 0.8601 0.0322
B: 0.5000 0.6116 0.9542
B: 0.5000 0.2183 0.8168
B: 0.5000 0.3884 0.0458
B: 0.5000 0.0235 0.6897
B: 0.5000 0.5235 0.8103
B: 0.5000 0.3601 0.4678
B: 0.5000 0.7817 0.1832
B: 0.5000 0.1116 0.5458
B: 0.5000 0.4765 0.1897
B: 0.5000 0.9765 0.3103
Tc: 0.0000 0.1293 0.4141
Tc: 0.0000 0.6293 0.0859
Tc: 0.0000 0.3707 0.9141
Tc: 0.0000 0.8707 0.5859

Results
spin magnetization = 0.000 μB per atom
SG = Pbam, No. 55
volume = 10.941 Å³/atom

Most stable: arrangement Q. Least stable: arrangement P.